Record 1
The following is a DFT calculation (PBE) of a relaxed Sm6Mg5Bi crystal.

Cell lengths 5.4782, 7.6419, 16.4686 Å; angles 90.00, 90.00, 90.00 degrees
Space group Immm (No. 71)
One atom of each set of equivalent atoms:
Sm (0.0000, 0.2485, 0.0000)
Sm (0.0000, 0.2513, 0.3320)
Mg (0.0000, 0.0000, 0.1659)
Mg (0.0000, 0.5000, 0.1724)
Mg (0.0000, 0.5000, 0.5000)
Bi (0.0000, 0.0000, 0.5000)

Crystal system: orthorhombic
Formation enthalpy at 0 K in eV/atom: -0.21

Record 2
The following is a DFT calculation (PBE) of a relaxed SmMgBi2 crystal.

Cell lengths 6.6636, 10.6739, 6.5055 Å; angles 90.00, 90.00, 90.00 degrees
Space group Cmme (No. 67)
One atom of each set of equivalent atoms:
Sm (0.0000, 0.2500, 0.1839)
Mg (0.2500, 0.0000, 0.5000)
Bi (0.0000, 0.2500, 0.6711)
Bi (0.2500, 0.0000, 0.0000)

Crystal system: orthorhombic
Formation enthalpy at 0 K in eV/atom: -0.47

Record 3
The following is a DFT calculation (PBE) of a relaxed Sm5MgBi2 crystal.

Cell lengths 5.4720, 12.0431, 15.7645 Å; angles 90.00, 90.00, 90.00 degrees
Space group Cmcm (No. 63)
One atom of each set of equivalent atoms:
Sm (0.0000, 0.0622, 0.1000)
Sm (0.0000, 0.3745, 0.0467)
Sm (0.0000, 0.4289, 0.7500)
Mg (0.0000, 0.2788, 0.2500)
Bi (0.0000, 0.2162, 0.6255)

Crystal system: orthorhombic
Formation enthalpy at 0 K in eV/atom: -0.24

Record 4
The following is a DFT calculation (PBE) of a relaxed SmMgBi2 crystal.

Cell lengths 4.5814, 4.5814, 11.0299 Å; angles 90.00, 90.00, 90.00 degrees
Space group P4/nmm (No. 129, origin choice 2)
One atom of each set of equivalent atoms:
Sm (0.2500, 0.2500, 0.2235)
Mg (0.2500, 0.7500, 0.5000)
Bi (0.2500, 0.2500, 0.6871)
Bi (0.2500, 0.7500, 0.0000)

Crystal system: tetragonal
Formation enthalpy at 0 K in eV/atom: -0.51

Record 5
The following is a DFT calculation (PBE) of a relaxed SmMgBi2 crystal.

Cell lengths 4.1009, 4.1009, 6.8999 Å; angles 90.00, 90.00, 90.00 degrees
Space group P4/mmm (No. 123)
One atom of each set of equivalent atoms:
Sm (0.0000, 0.0000, 0.0000)
Mg (0.0000, 0.0000, 0.5000)
Bi (0.5000, 0.5000, 0.2518)

Crystal system: tetragonal
Formation enthalpy at 0 K in eV/atom: -0.43

Record 6
The following is a DFT calculation (PBE) of a relaxed Sm5MgBi4 crystal.

Cell lengths 10.2000, 10.2000, 6.4305 Å; angles 90.00, 90.00, 90.00 degrees
Space group I4/m (No. 87)
One atom of each set of equivalent atoms:
Sm (0.0000, 0.0000, 0.0000)
Sm (0.1057, 0.6873, 0.5000)
Mg (0.0000, 0.0000, 0.5000)
Bi (0.1031, 0.7023, 0.0000)

Crystal system: tetragonal
Formation enthalpy at 0 K in eV/atom: -0.65

no.,raw total energy (eV/atom),V (Å³ per cell)
1,-3.56,689.4
2,-3.99,462.7
3,-4.36,1038.9
4,-4.03,231.5
5,-3.95,116.0
6,-4.72,669.0